(1)
! LiIn2Cu, relaxed, DFT PBE-GGA; values from VASP
! energy of formation from the pure elements: 0.017 eV/atom
&SYSTEM
  ibrav = 0, nat = 4, ntyp = 3
/
ATOMIC_SPECIES
Li 6.94 Li.upf
In 114.82 In.upf
Cu 63.55 Cu.upf
ATOMIC_POSITIONS crystal
Li 0.0000 0.0000 0.0000
In 0.2443 0.2443 0.2443
In 0.7557 0.7557 0.7557
Cu 0.5000 0.5000 0.5000
CELL_PARAMETERS angstrom
1.6640 0.9607 8.6050
-1.6640 0.9607 8.6050
0.0000 -1.9214 8.6050

(2)
! Li6In2Cu, relaxed, DFT PBE-GGA; values from VASP
! energy of formation from the pure elements: -0.109 eV/atom
&SYSTEM
  ibrav = 0, nat = 9, ntyp = 3
/
ATOMIC_SPECIES
Li 6.94 Li.upf
In 114.82 In.upf
Cu 63.55 Cu.upf
ATOMIC_POSITIONS crystal
Li 0.0902 0.0902 0.0902
Li 0.1970 0.1970 0.1970
Li 0.3045 0.3045 0.3045
Li 0.6955 0.6955 0.6955
Li 0.8030 0.8030 0.8030
Li 0.9098 0.9098 0.9098
In 0.4076 0.4076 0.4076
In 0.5924 0.5924 0.5924
Cu 0.5000 0.5000 0.5000
CELL_PARAMETERS angstrom
2.3528 1.3584 9.1939
-2.3528 1.3584 9.1939
0.0000 -2.7168 9.1939

(3)
! LiInCu4, relaxed, DFT PBE-GGA; values from VASP
! energy of formation from the pure elements: -0.083 eV/atom
&SYSTEM
  ibrav = 0, nat = 6, ntyp = 3
/
ATOMIC_SPECIES
Li 6.94 Li.upf
In 114.82 In.upf
Cu 63.55 Cu.upf
ATOMIC_POSITIONS crystal
Li 0.0000 0.0000 0.0000
In 0.7500 0.7500 0.7500
Cu 0.3747 0.3747 0.3747
Cu 0.3747 0.3747 0.8760
Cu 0.3747 0.8760 0.3747
Cu 0.8760 0.3747 0.3747
CELL_PARAMETERS angstrom
0.0000 3.5123 3.5123
3.5123 0.0000 3.5123
3.5123 3.5123 0.0000

(4)
! Li2InCu, relaxed, DFT PBE-GGA; values from VASP
! energy of formation from the pure elements: -0.111 eV/atom
&SYSTEM
  ibrav = 0, nat = 4, ntyp = 3
/
ATOMIC_SPECIES
Li 6.94 Li.upf
In 114.82 In.upf
Cu 63.55 Cu.upf
ATOMIC_POSITIONS crystal
Li 0.0000 0.0000 0.0000
Li 0.9997 0.5000 0.3116
In 0.4992 0.5000 0.7957
Cu 0.5032 0.0000 0.4955
CELL_PARAMETERS angstrom
2.9110 0.0000 0.0000
0.0000 4.5814 0.0000
-0.0101 0.0000 5.0236

(5)
! LiIn2Cu2, relaxed, DFT PBE-GGA; values from VASP
! ΔE to the lowest computed polymorph: 0.104 eV/atom
! energy of formation from the pure elements: 0.006 eV/atom
&SYSTEM
  ibrav = 0, nat = 5, ntyp = 3
/
ATOMIC_SPECIES
Li 6.94 Li.upf
In 114.82 In.upf
Cu 63.55 Cu.upf
ATOMIC_POSITIONS crystal
Li 0.0000 0.0000 0.0000
In 0.3934 0.3934 0.0000
In 0.6066 0.6066 0.0000
Cu 0.2500 0.7500 0.5000
Cu 0.7500 0.2500 0.5000
CELL_PARAMETERS angstrom
-1.7654 1.7654 7.3646
1.7654 -1.7654 7.3646
1.7654 1.7654 -7.3646

(6)
! Li6InCu2, relaxed, DFT PBE-GGA; values from VASP
! ΔE to the lowest computed polymorph: 0.000 eV/atom
! energy of formation from the pure elements: -0.100 eV/atom
&SYSTEM
  ibrav = 0, nat = 9, ntyp = 3
/
ATOMIC_SPECIES
Li 6.94 Li.upf
In 114.82 In.upf
Cu 63.55 Cu.upf
ATOMIC_POSITIONS crystal
Li 0.0000 0.3309 0.6691
Li 0.0000 0.6691 0.3309
Li 0.3309 0.0000 0.6691
Li 0.3309 0.6691 0.0000
Li 0.6691 0.0000 0.3309
Li 0.6691 0.3309 0.0000
In 0.5000 0.5000 0.5000
Cu 0.1552 0.1552 0.1552
Cu 0.8448 0.8448 0.8448
CELL_PARAMETERS angstrom
3.9022 2.2530 2.6457
-3.9022 2.2530 2.6457
0.0000 -4.5059 2.6457

(7)
! Li2InCu, relaxed, DFT PBE-GGA; values from VASP
! energy of formation from the pure elements: -0.094 eV/atom
&SYSTEM
  ibrav = 0, nat = 4, ntyp = 3
/
ATOMIC_SPECIES
Li 6.94 Li.upf
In 114.82 In.upf
Cu 63.55 Cu.upf
ATOMIC_POSITIONS crystal
Li 0.2014 0.0000 0.2635
Li 0.7986 0.0000 0.7365
In 0.5000 0.5000 0.0000
Cu 0.0000 0.5000 0.5000
CELL_PARAMETERS angstrom
2.8910 0.0000 0.0000
0.0000 4.5247 0.0000
-1.1477 0.0000 5.0969

(8)
! LiIn2Cu, relaxed, DFT PBE-GGA; values from VASP
! energy of formation from the pure elements: 0.003 eV/atom
&SYSTEM
  ibrav = 0, nat = 4, ntyp = 3
/
ATOMIC_SPECIES
Li 6.94 Li.upf
In 114.82 In.upf
Cu 63.55 Cu.upf
ATOMIC_POSITIONS crystal
Li 0.0000 0.0000 0.0000
In 0.2500 0.2500 0.2500
In 0.5000 0.5000 0.5000
Cu 0.7500 0.7500 0.7500
CELL_PARAMETERS angstrom
0.0000 3.3824 3.3824
3.3824 0.0000 3.3824
3.3824 3.3824 0.0000

(9)
! Li2InCu, relaxed, DFT PBE-GGA; values from VASP
! energy of formation from the pure elements: 0.052 eV/atom
&SYSTEM
  ibrav = 0, nat = 4, ntyp = 3
/
ATOMIC_SPECIES
Li 6.94 Li.upf
In 114.82 In.upf
Cu 63.55 Cu.upf
ATOMIC_POSITIONS crystal
Li 0.0000 0.0000 0.0000
Li 0.2350 0.2350 0.2350
In 0.4818 0.4818 0.4818
Cu 0.7375 0.7375 0.7375
CELL_PARAMETERS angstrom
1.6226 0.9368 8.4802
-1.6226 0.9368 8.4802
0.0000 -1.8736 8.4802

(10)
! Li2InCu, relaxed, DFT PBE-GGA; values from VASP
! energy of formation from the pure elements: -0.147 eV/atom
&SYSTEM
  ibrav = 0, nat = 4, ntyp = 3
/
ATOMIC_SPECIES
Li 6.94 Li.upf
In 114.82 In.upf
Cu 63.55 Cu.upf
ATOMIC_POSITIONS crystal
Li 0.2388 0.2388 0.2380
Li 0.7612 0.7612 0.7620
In 0.0000 0.0000 0.5000
Cu 0.5000 0.5000 0.0000
CELL_PARAMETERS angstrom
4.8214 -1.8202 0.0000
4.8214 1.8202 0.0000
-1.7528 0.0000 3.7473

(11)
! LiLuInCu, relaxed, DFT PBE-GGA; values from VASP
! energy of formation from the pure elements: -0.339 eV/atom
&SYSTEM
  ibrav = 0, nat = 4, ntyp = 4
/
ATOMIC_SPECIES
Li 6.94 Li.upf
Lu 174.97 Lu.upf
In 114.82 In.upf
Cu 63.55 Cu.upf
ATOMIC_POSITIONS crystal
Li 0.0000 0.0000 0.0000
Lu 0.2500 0.2500 0.2500
In 0.7500 0.7500 0.7500
Cu 0.5000 0.5000 0.5000
CELL_PARAMETERS angstrom
0.0000 3.3006 3.3006
3.3006 0.0000 3.3006
3.3006 3.3006 0.0000

(12)
! Li2Mg3In3Cu, relaxed, DFT PBE-GGA; values from VASP
! energy of formation from the pure elements: -0.160 eV/atom
&SYSTEM
  ibrav = 0, nat = 9, ntyp = 4
/
ATOMIC_SPECIES
Li 6.94 Li.upf
Mg 24.30 Mg.upf
In 114.82 In.upf
Cu 63.55 Cu.upf
ATOMIC_POSITIONS crystal
Li 0.3333 0.6667 0.0000
Li 0.6667 0.3333 0.0000
Mg 0.0000 0.7268 0.0000
Mg 0.2732 0.2732 0.0000
Mg 0.7268 0.0000 0.0000
In 0.0000 0.3706 0.5000
In 0.3706 0.0000 0.5000
In 0.6294 0.6294 0.5000
Cu 0.0000 0.0000 0.5000
CELL_PARAMETERS angstrom
8.0635 0.0000 0.0000
-4.0317 6.9832 0.0000
0.0000 0.0000 3.2065

(13)
! Li2InCuN, relaxed, DFT PBE-GGA; values from VASP
! ΔE to the lowest computed polymorph: 1.031 eV/atom
&SYSTEM
  ibrav = 0, nat = 5, ntyp = 4
/
ATOMIC_SPECIES
Li 6.94 Li.upf
In 114.82 In.upf
Cu 63.55 Cu.upf
N 14.01 N.upf
ATOMIC_POSITIONS crystal
Li 0.0000 0.5000 0.0000
Li 0.5000 0.0000 0.0000
In 0.0000 0.0000 0.5000
Cu 0.0000 0.0000 0.0000
N 0.5000 0.5000 0.5000
CELL_PARAMETERS angstrom
4.3106 0.0000 0.0000
0.0000 4.3106 0.0000
0.0000 0.0000 4.8520

(14)
Density functional theory data (PBE-GGA) for an optimized crystal structure of LiInCu2N. Values from VASP.

Quantum ESPRESSO input file:
```
&SYSTEM
  ibrav = 0, nat = 5, ntyp = 4
/
ATOMIC_SPECIES
Li 6.94 Li.upf
In 114.82 In.upf
Cu 63.55 Cu.upf
N 14.01 N.upf
ATOMIC_POSITIONS crystal
Li 0.0000 0.0000 0.0000
In 0.0000 0.0000 0.5000
Cu 0.0000 0.5000 0.5000
Cu 0.5000 0.0000 0.5000
N 0.5000 0.5000 0.0000
CELL_PARAMETERS angstrom
4.8701 0.0000 0.0000
0.0000 4.8701 0.0000
0.0000 0.0000 5.4390
```

(15)
! Li2InCuN, relaxed, DFT PBE-GGA; values from VASP
! ΔE to the lowest computed polymorph: 0.000 eV/atom
&SYSTEM
  ibrav = 0, nat = 5, ntyp = 4
/
ATOMIC_SPECIES
Li 6.94 Li.upf
In 114.82 In.upf
Cu 63.55 Cu.upf
N 14.01 N.upf
ATOMIC_POSITIONS crystal
Li 0.0000 0.5000 0.0000
Li 0.5000 0.0000 0.0000
In 0.0000 0.0000 0.5000
Cu 0.5000 0.5000 0.5000
N 0.5000 0.5000 0.0000
CELL_PARAMETERS angstrom
4.2709 0.0000 0.0000
0.0000 4.2709 0.0000
0.0000 0.0000 3.7647

(16)
! NaLi2InCu, relaxed, DFT PBE-GGA; values from VASP
! energy of formation from the pure elements: 0.016 eV/atom
&SYSTEM
  ibrav = 0, nat = 5, ntyp = 4
/
ATOMIC_SPECIES
Na 22.99 Na.upf
Li 6.94 Li.upf
In 114.82 In.upf
Cu 63.55 Cu.upf
ATOMIC_POSITIONS crystal
Na 0.0000 0.0000 0.0000
Li 0.0000 0.5000 0.5000
Li 0.5000 0.0000 0.5000
In 0.5000 0.5000 0.0000
Cu 0.5000 0.5000 0.5000
CELL_PARAMETERS angstrom
4.8991 0.0000 0.0000
0.0000 4.8991 0.0000
0.0000 0.0000 4.9401

(17)
! NaLiInCu2, relaxed, DFT PBE-GGA; values from VASP
! energy of formation from the pure elements: 0.452 eV/atom
&SYSTEM
  ibrav = 0, nat = 5, ntyp = 4
/
ATOMIC_SPECIES
Na 22.99 Na.upf
Li 6.94 Li.upf
In 114.82 In.upf
Cu 63.55 Cu.upf
ATOMIC_POSITIONS crystal
Na 0.0000 0.0000 0.0000
Li 0.0000 0.0000 0.5000
In 0.5000 0.5000 0.0000
Cu 0.0000 0.5000 0.5000
Cu 0.5000 0.0000 0.5000
CELL_PARAMETERS angstrom
4.5294 0.0000 0.0000
0.0000 4.5294 0.0000
0.0000 0.0000 4.5691

(18)
! LiInCuNi, relaxed, DFT PBE-GGA; values from VASP
! energy of formation from the pure elements: -0.145 eV/atom
&SYSTEM
  ibrav = 0, nat = 4, ntyp = 4
/
ATOMIC_SPECIES
Li 6.94 Li.upf
In 114.82 In.upf
Cu 63.55 Cu.upf
Ni 58.69 Ni.upf
ATOMIC_POSITIONS crystal
Li 0.0000 0.0000 0.0000
In 0.7500 0.7500 0.7500
Cu 0.2500 0.2500 0.2500
Ni 0.5000 0.5000 0.5000
CELL_PARAMETERS angstrom
0.0000 3.0349 3.0349
3.0349 0.0000 3.0349
3.0349 3.0349 0.0000

(19)
Density functional theory data (PBE-GGA) for an optimized crystal structure of Li2InCuO4. Values from VASP.

Quantum ESPRESSO input file:
```
&SYSTEM
  ibrav = 0, nat = 8, ntyp = 4
/
ATOMIC_SPECIES
Li 6.94 Li.upf
In 114.82 In.upf
Cu 63.55 Cu.upf
O 16.00 O.upf
ATOMIC_POSITIONS crystal
Li 0.0000 0.0000 0.0000
Li 0.0000 0.5000 0.5000
In 0.5000 0.0000 0.5000
Cu 0.5000 0.5000 0.0000
O 0.2131 0.5000 0.2849
O 0.3084 0.0000 0.7899
O 0.6916 0.0000 0.2101
O 0.7869 0.5000 0.7151
CELL_PARAMETERS angstrom
5.6150 0.0000 0.0000
0.0000 2.9652 0.0000
-2.4607 0.0000 5.1258
```

(20)
! LiPaInCu, relaxed, DFT PBE-GGA; values from VASP
! energy of formation from the pure elements: 0.046 eV/atom
&SYSTEM
  ibrav = 0, nat = 4, ntyp = 4
/
ATOMIC_SPECIES
Li 6.94 Li.upf
Pa 231.04 Pa.upf
In 114.82 In.upf
Cu 63.55 Cu.upf
ATOMIC_POSITIONS crystal
Li 0.0000 0.0000 0.0000
Pa 0.7500 0.7500 0.7500
In 0.2500 0.2500 0.2500
Cu 0.5000 0.5000 0.5000
CELL_PARAMETERS angstrom
0.0000 3.3697 3.3697
3.3697 0.0000 3.3697
3.3697 3.3697 0.0000

no.,electronic total energy (eV per atom)
1,-2.854
2,-2.449
3,-3.589
4,-2.776
5,-3.110
6,-2.591
7,-2.759
8,-2.869
9,-2.614
10,-2.812
11,-3.656
12,-2.485
13,-2.850
14,-2.675
15,-3.881
16,-2.380
17,-2.381
18,-3.777
19,-5.132
20,-4.515